Run a
The following is a PBE calculation of a geometry-optimized KNaPAu structure, from the Open Quantum Materials Database.

Calculated values
Symmetry: Ama2, No. 40
Volume (A^3/atom): 25.76

abc: 6.198 5.868 5.868
angles: 74.92 90.00 90.00
Fractional positions:
K (0.250, 0.151, 0.849)
K (0.750, 0.849, 0.151)
Na (0.250, 0.501, 0.211)
Na (0.750, 0.211, 0.501)
P (0.250, 0.925, 0.406)
P (0.750, 0.406, 0.925)
Au (0.000, 0.680, 0.680)
Au (0.500, 0.680, 0.680)

Run b
The following is a PBE calculation of a geometry-optimized KNaPAu structure, from the Open Quantum Materials Database.

Calculated values
Symmetry: Amm2, No. 38
Volume (A^3/atom): 25.68

abc: 6.186 5.871 5.871
angles: 105.56 90.00 90.00
Fractional positions:
K (0.000, 0.173, 0.827)
K (0.000, 0.827, 0.173)
Na (0.500, 0.525, 0.885)
Na (0.500, 0.885, 0.525)
P (0.000, 0.613, 0.613)
P (0.500, 0.089, 0.089)
Au (0.257, 0.360, 0.360)
Au (0.743, 0.360, 0.360)

Which one sits at the top of the stability order? run a does.

Run a
The following is a PBE calculation of a geometry-optimized KNbAu structure, from the Open Quantum Materials Database.

Calculated values
Spin magnetization (μB per atom): 1.005
Symmetry: F-43m, No. 216
Volume (A^3/atom): 29.13

abc: 4.981 4.981 4.981
angles: 60.00 60.00 60.00
Fractional positions:
K (0.000, 0.000, 0.000)
Nb (0.500, 0.500, 0.500)
Au (0.250, 0.250, 0.250)

Run b
The following is a PBE calculation of a geometry-optimized KNbAu structure, from the Open Quantum Materials Database.

Calculated values
Spin magnetization (μB per atom): 1.570
Symmetry: F-43m, No. 216
Volume (A^3/atom): 31.94

abc: 5.137 5.137 5.137
angles: 60.00 60.00 60.00
Fractional positions:
K (0.000, 0.000, 0.000)
Nb (0.250, 0.250, 0.250)
Au (0.750, 0.750, 0.750)

Which one sits at the top of the stability order? run a does.

Run a
The following is a PBE calculation of a geometry-optimized KOsAu structure, from the Open Quantum Materials Database.

Calculated values
Spin magnetization (μB per atom): 0.951
Symmetry: F-43m, No. 216
Volume (A^3/atom): 26.40

abc: 4.820 4.820 4.820
angles: 60.00 60.00 60.00
Fractional positions:
K (0.000, 0.000, 0.000)
Os (0.500, 0.500, 0.500)
Au (0.250, 0.250, 0.250)

Run b
The following is a PBE calculation of a geometry-optimized KOsAu structure, from the Open Quantum Materials Database.

Calculated values
Spin magnetization (μB per atom): 1.115
Symmetry: F-43m, No. 216
Volume (A^3/atom): 29.96

abc: 5.028 5.028 5.028
angles: 60.00 60.00 60.00
Fractional positions:
K (0.000, 0.000, 0.000)
Os (0.250, 0.250, 0.250)
Au (0.750, 0.750, 0.750)

Which one sits at the top of the stability order? run a does.

Run a
The following is a PBE calculation of a geometry-optimized KPdAu structure, from the Open Quantum Materials Database.

Calculated values
Symmetry: F-43m, No. 216
Volume (A^3/atom): 26.41

abc: 4.821 4.821 4.821
angles: 60.00 60.00 60.00
Fractional positions:
K (0.000, 0.000, 0.000)
Pd (0.750, 0.750, 0.750)
Au (0.500, 0.500, 0.500)

Run b
The following is a PBE calculation of a geometry-optimized KPdAu structure, from the Open Quantum Materials Database.

Calculated values
Symmetry: Imma, No. 74
Volume (A^3/atom): 22.03

abc: 5.708 5.708 5.708
angles: 119.72 119.62 90.58
Fractional positions:
K (0.378, 0.128, 0.250)
K (0.622, 0.872, 0.750)
Pd (0.000, 0.500, 0.500)
Pd (0.500, 0.500, 0.000)
Au (0.000, 0.000, 0.500)
Au (0.000, 0.500, 0.000)

Run c
The following is a PBE calculation of a geometry-optimized KPdAu structure, from the Open Quantum Materials Database.

Calculated values
Symmetry: F-43m, No. 216
Volume (A^3/atom): 28.44

abc: 4.941 4.941 4.941
angles: 60.00 60.00 60.00
Fractional positions:
K (0.000, 0.000, 0.000)
Pd (0.250, 0.250, 0.250)
Au (0.750, 0.750, 0.750)

Which one sits at the top of the stability order? run b does.

Run a
The following is a PBE calculation of a geometry-optimized K2RbAu2 structure, from the Open Quantum Materials Database.

Calculated values
Symmetry: I4/mmm, No. 139
Volume (A^3/atom): 39.51

abc: 8.059 8.059 8.059
angles: 141.94 141.94 54.92
Fractional positions:
K (0.250, 0.750, 0.500)
K (0.750, 0.250, 0.500)
Rb (0.000, 0.000, 0.000)
Au (0.402, 0.402, 0.000)
Au (0.598, 0.598, 0.000)

Run b
The following is a PBE calculation of a geometry-optimized K2RbAu2 structure, from the Open Quantum Materials Database.

Calculated values
Symmetry: P4/mbm, No. 127
Volume (A^3/atom): 38.34

abc: 9.504 9.504 4.245
angles: 90.00 90.00 90.00
Fractional positions:
K (0.138, 0.362, 0.000)
K (0.362, 0.862, 0.000)
K (0.638, 0.138, 0.000)
K (0.862, 0.638, 0.000)
Rb (0.000, 0.000, 0.500)
Rb (0.500, 0.500, 0.500)
Au (0.156, 0.656, 0.500)
Au (0.344, 0.156, 0.500)
Au (0.656, 0.844, 0.500)
Au (0.844, 0.344, 0.500)

Which one sits at the top of the stability order? run b does.

Run a
The following is a PBE calculation of a geometry-optimized KTbAu3S4 structure, from the Open Quantum Materials Database.

Calculated values
Spin magnetization (μB per atom): 0.003
Symmetry: P2_1/m, No. 11
Volume (A^3/atom): 25.76

abc: 5.777 7.543 10.960
angles: 90.00 103.82 90.00
Fractional positions:
K (0.239, 0.250, 0.375)
K (0.761, 0.750, 0.625)
Tb (0.115, 0.250, 0.808)
Tb (0.885, 0.750, 0.192)
Au (0.298, 0.563, 0.053)
Au (0.298, 0.937, 0.053)
Au (0.443, 0.750, 0.316)
Au (0.557, 0.250, 0.684)
Au (0.702, 0.063, 0.947)
Au (0.702, 0.437, 0.947)
S (0.044, 0.250, 0.054)
S (0.144, 0.750, 0.427)
S (0.381, 0.517, 0.771)
S (0.381, 0.983, 0.771)
S (0.619, 0.017, 0.229)
S (0.619, 0.483, 0.229)
S (0.856, 0.250, 0.573)
S (0.956, 0.750, 0.946)

Run b
The following is a PBE calculation of a geometry-optimized KTbAu3S4 structure, from the Open Quantum Materials Database.

Calculated values
Spin magnetization (μB per atom): 0.001
Symmetry: P-43m, No. 215
Volume (A^3/atom): 27.95

abc: 6.313 6.313 6.313
angles: 90.00 90.00 90.00
Fractional positions:
K (0.000, 0.000, 0.000)
Tb (0.500, 0.500, 0.500)
Au (0.000, 0.500, 0.500)
Au (0.500, 0.000, 0.500)
Au (0.500, 0.500, 0.000)
S (0.268, 0.268, 0.268)
S (0.268, 0.732, 0.732)
S (0.732, 0.268, 0.732)
S (0.732, 0.732, 0.268)

Which one sits at the top of the stability order? run a does.